1.
10
Lattice="6.8426 0.0000 0.0000 0.0000 6.8426 0.0000 0.0000 0.0000 3.9800" Properties=species:S:1:pos:R:3 comment="Mg2Zn2Hg, optimized geometry, DFT PBEsol" de_polymorph_mev_per_atom=0 space_group="P4/mbm, No. 127" total_magnetization_mub_per_atom=0.000 final_energy_ev_per_atom=-1.54 n_ef_per_ev_fu=1.45 pbc="T T T"
Mg 1.1522 2.2691 0.0000
Mg 2.2691 5.6904 0.0000
Mg 4.5735 1.1522 0.0000
Mg 5.6904 4.5735 0.0000
Zn 0.8743 4.2956 1.9900
Zn 2.5470 0.8743 1.9900
Zn 4.2956 5.9683 1.9900
Zn 5.9683 2.5470 1.9900
Hg 0.0000 0.0000 1.9900
Hg 3.4213 3.4213 1.9900


2.
12
Lattice="3.3097 0.0000 0.0000 -1.6549 2.8663 0.0000 0.0000 0.0000 25.6702" Properties=species:S:1:pos:R:3 comment="MgZnHg2, optimized geometry, DFT PBEsol" space_group="R-3m, No. 166" total_magnetization_mub_per_atom=0.000 final_energy_ev_per_atom=-1.18 n_ef_per_ev_fu=1.52 pbc="T T T"
Mg 0.0000 0.0000 0.0000
Mg 0.0000 1.9109 17.1135
Mg 1.6549 0.9554 8.5567
Zn 0.0000 0.0000 12.8351
Zn 0.0000 1.9109 4.2784
Zn 1.6549 0.9554 21.3918
Hg 0.0000 0.0000 6.3315
Hg 0.0000 0.0000 19.3387
Hg 0.0000 1.9109 10.7820
Hg 0.0000 1.9109 23.4449
Hg 1.6549 0.9554 2.2252
Hg 1.6549 0.9554 14.8882


3.
8
Lattice="4.5180 0.0000 0.0000 0.0000 4.5180 0.0000 0.0000 0.0000 7.5836" Properties=species:S:1:pos:R:3 comment="MgZnHg2, optimized geometry, DFT PBEsol" space_group="I4/mmm, No. 139" total_magnetization_mub_per_atom=0.000 final_energy_ev_per_atom=-1.22 n_ef_per_ev_fu=1.00 pbc="T T T"
Mg 0.0000 0.0000 0.0000
Mg 2.2590 2.2590 3.7918
Zn 0.0000 0.0000 3.7918
Zn 2.2590 2.2590 0.0000
Hg 0.0000 2.2590 1.8959
Hg 0.0000 2.2590 5.6877
Hg 2.2590 0.0000 1.8959
Hg 2.2590 0.0000 5.6877